1.
Er5Sc2Ga5: relaxed, PBE.

a = 5.9975 Å, b = 5.9975 Å, c = 12.7488 Å
α = 113.74°, β = 113.74°, γ = 43.96°
Last column: nearest neighbours and their distance in Å.
Fractional positions:
Er1 0.0000 0.0000 0.0000  8 Ga 3.21-3.42
Er2 0.3626 0.3626 0.5244  3 Ga 2.81-3.07
Er3 0.4125 0.4125 0.1944  5 Ga 2.89-3.04
Er4 0.5875 0.5875 0.8056  5 Ga 2.89-3.04
Er5 0.6374 0.6374 0.4756  3 Ga 2.81-3.07
Sc1 0.2385 0.2385 0.7113  4 Ga 2.81-2.84
Sc2 0.7615 0.7615 0.2887  4 Ga 2.81-2.84
Ga1 0.0000 0.0000 0.5000  4 Er 2.81, 2 Sc 2.84
Ga2 0.1087 0.1087 0.2933  2 Sc 2.83, 5 Er 3.00-3.15
Ga3 0.2739 0.2739 0.9430  1 Sc 2.81, 2 Ga 2.85, 3 Er 2.89-3.04
Ga4 0.7261 0.7261 0.0570  1 Sc 2.81, 2 Ga 2.85, 3 Er 2.89-3.04
Ga5 0.8913 0.8913 0.7067  2 Sc 2.83, 5 Er 3.00-3.15

Output
Formation energy = -406 meV per atom
Magnetic moment = 0.00 Bohr magnetons per cell
Calculated density = 7.38 g cm⁻³

2.
ErScGa: relaxed, PBE.

a = 7.6411 Å, b = 7.6411 Å, c = 4.1868 Å
α = 90.00°, β = 90.00°, γ = 120.00°
Last column: nearest neighbours and their distance in Å.
Fractional positions:
Er1 0.0000 0.4062 0.0000  5 Ga 3.10-3.12, 6 Sc 3.33-3.43
Er2 0.4062 0.0000 0.0000  5 Ga 3.10-3.12, 6 Sc 3.33-3.43
Er3 0.5938 0.5938 0.0000  5 Ga 3.10-3.12, 6 Sc 3.33-3.43
Sc1 0.0000 0.7445 0.5000  4 Ga 2.86-2.89
Sc2 0.2555 0.2555 0.5000  4 Ga 2.86-2.89
Sc3 0.7445 0.0000 0.5000  4 Ga 2.86-2.89
Ga1 0.0000 0.0000 0.0000  6 Sc 2.86, 3 Er 3.10
Ga2 0.3333 0.6667 0.5000  3 Sc 2.89, 6 Er 3.12
Ga3 0.6667 0.3333 0.5000  3 Sc 2.89, 6 Er 3.12

Output
Formation energy = -450 meV per atom
ΔE to the lowest computed polymorph = 0 meV/atom
Magnetic moment = 3.03 Bohr magnetons per cell
Calculated density = 6.63 g cm⁻³

3.
Er2Sc3Ga4: relaxed, PBE.

a = 8.2394 Å, b = 8.2394 Å, c = 8.1790 Å
α = 90.00°, β = 90.00°, γ = 134.14°
Last column: nearest neighbours and their distance in Å.
Fractional positions:
Er1 0.1105 0.8895 0.9172  6 Ga 3.03-3.37
Er2 0.3895 0.6105 0.4172  6 Ga 3.03-3.37
Er3 0.6105 0.3895 0.5828  6 Ga 3.03-3.37
Er4 0.8895 0.1105 0.0828  6 Ga 3.03-3.37
Sc1 0.0000 0.0000 0.5000  6 Ga 2.65-2.86
Sc2 0.0375 0.4625 0.7500  5 Ga 2.73-2.92
Sc3 0.4625 0.0375 0.2500  5 Ga 2.73-2.92
Sc4 0.5000 0.5000 0.0000  6 Ga 2.65-2.86
Sc5 0.5375 0.9625 0.7500  5 Ga 2.73-2.92
Sc6 0.9625 0.5375 0.2500  5 Ga 2.73-2.92
Ga1 0.1868 0.8132 0.5438  5 Sc 2.78-2.92
Ga2 0.2174 0.2826 0.7500  3 Sc 2.65-2.73
Ga3 0.2826 0.2174 0.2500  3 Sc 2.65-2.73
Ga4 0.3132 0.6868 0.0438  5 Sc 2.78-2.92
Ga5 0.6868 0.3132 0.9562  5 Sc 2.78-2.92
Ga6 0.7174 0.7826 0.7500  3 Sc 2.65-2.73
Ga7 0.7826 0.7174 0.2500  3 Sc 2.65-2.73
Ga8 0.8132 0.1868 0.4562  5 Sc 2.78-2.92

Output
Formation energy = -449 meV per atom
ΔE to the lowest computed polymorph = 170 meV/atom
Magnetic moment = 0.00 Bohr magnetons per cell
Calculated density = 6.24 g cm⁻³

4.
ErScGa: relaxed, PBE.

a = 4.7889 Å, b = 4.7889 Å, c = 4.7889 Å
α = 60.00°, β = 60.00°, γ = 60.00°
Last column: nearest neighbours and their distance in Å.
Fractional positions:
Er1 0.0000 0.0000 0.0000  4 Ga 2.93
Sc1 0.5000 0.5000 0.5000  4 Ga 2.93
Ga1 0.2500 0.2500 0.2500  4 Sc 2.93, 4 Er 2.93

Output
Formation energy = -252 meV per atom
ΔE to the lowest computed polymorph = 198 meV/atom
Magnetic moment = 0.00 Bohr magnetons per cell
Calculated density = 6.03 g cm⁻³